Record 1
The following is a GGA-PBE calculation of crystalline Sm3Al8Au3 at its relaxed geometry, from Alexandria.

Cell: 8.3844 8.3844 8.3844 Å, 149.52 106.29 81.82°
With the nearest neighbours (Å) after each atom.
Atoms (fractional coordinates):
Sm  0.0000  0.0000  0.0000  12 Al 3.27-3.32, 4 Au 3.54
Sm  0.3102  0.3102  0.0000  8 Al 3.15-3.20, 4 Au 3.26-3.30
Sm  0.6898  0.6898  0.0000  8 Al 3.15-3.20, 4 Au 3.26-3.30
Al  0.0357  0.6664  0.3693  1 Au 2.56, 4 Al 2.63-2.75
Al  0.1545  0.8722  0.2823  3 Au 2.72-2.74, 3 Al 2.72-2.75
Al  0.2971  0.6664  0.6307  1 Au 2.56, 4 Al 2.63-2.75
Al  0.4101  0.1278  0.2823  3 Au 2.72-2.74, 3 Al 2.72-2.75
Al  0.5899  0.8722  0.7177  3 Au 2.72-2.74, 3 Al 2.72-2.75
Al  0.7029  0.3336  0.3693  1 Au 2.56, 4 Al 2.63-2.75
Al  0.8455  0.1278  0.7177  3 Au 2.72-2.74, 3 Al 2.72-2.75
Al  0.9643  0.3336  0.6307  1 Au 2.56, 4 Al 2.63-2.75
Au  0.2756  0.5000  0.7756  6 Al 2.56-2.74
Au  0.5000  0.0000  0.5000  4 Al 2.72
Au  0.7244  0.5000  0.2244  6 Al 2.56-2.74

Values from the calculation:
The offset from the most stable computed form is 28 meV per atom. The formation energy from the elements is -53.50 kJ/mol of atoms. The value obtained for the density of states at the Fermi level is 5.73 states/eV/f.u.

***

Record 2
The following is a GGA-PBE calculation of crystalline PrHo3 at its relaxed geometry, from Alexandria.

Cell: 5.6923 5.6923 5.6923 Å, 60.00 60.00 60.00°
With the nearest neighbours (Å) after each atom.
Atoms (fractional coordinates):
Pr  0.0000  0.0000  0.0000  8 Ho 3.49
Ho  0.2500  0.2500  0.2500  4 Ho 3.49, 4 Pr 3.49
Ho  0.5000  0.5000  0.5000  8 Ho 3.49
Ho  0.7500  0.7500  0.7500  4 Pr 3.49, 4 Ho 3.49

Values from the calculation:
The offset from the most stable computed form is 115 meV per atom. The formation energy from the elements is 12.53 kJ/mol of atoms. The value obtained for the density of states at the Fermi level is 7.68 states/eV/f.u.